1.
Computed, not measured: a relaxed CoMoAs2S crystal at the GGA-PBE level of DFT.

Results
DFT total energy (eV/atom): -5.054
Space group: P4/mmm

a b c (Å): 4.795 4.363 4.795
angles (deg): 90.00 90.00 90.00
Fractional coordinates of all 5 atoms:
As 0.000 0.000 0.500
As 0.500 0.000 0.000
Co 0.500 0.500 0.500
Mo 0.000 0.500 0.000
S 0.000 0.000 0.000


2.
Computed, not measured: a relaxed LiSi2Cl crystal at the GGA-PBE level of DFT.

Results
DFT total energy (eV/atom): -3.514
Excess energy over the best structure of this formula in the dataset (eV/atom): 0.810
Space group: F-43m

a b c (Å): 4.581 4.581 4.581
angles (deg): 60.00 60.00 60.00
Fractional coordinates of all 4 atoms:
Li 0.750 0.750 0.750
Si 0.250 0.250 0.250
Si 0.000 0.000 0.000
Cl 0.500 0.500 0.500


3.
Computed, not measured: a relaxed CdPd2Au7 crystal at the GGA-PBE level of DFT.

Results
DFT total energy (eV/atom): -3.219
Space group: Cmmm
Formation enthalpy at 0 K (eV/atom): 0.206

a b c (Å): 4.518 7.757 7.757
angles (deg): 122.78 90.00 90.00
Fractional coordinates of all 10 atoms:
Pd 0.500 0.702 0.298
Pd 0.500 0.298 0.702
Au 0.500 0.500 0.500
Au 0.500 0.293 0.077
Au 0.500 0.707 0.923
Au 0.000 0.800 0.200
Au 0.000 0.200 0.800
Au 0.500 0.923 0.707
Au 0.500 0.077 0.293
Cd 0.000 0.000 0.000


4.
Computed, not measured: a relaxed BeSn crystal at the GGA-PBE level of DFT.

Results
DFT total energy (eV/atom): -3.328
Excess energy over the best structure of this formula in the dataset (eV/atom): 0.312
Space group: I-43m
Formation enthalpy at 0 K (eV/atom): 0.537

a b c (Å): 7.275 7.275 7.275
angles (deg): 90.00 90.00 90.00
Fractional coordinates of all 16 atoms:
Sn 0.290 0.290 0.290
Sn 0.790 0.210 0.210
Sn 0.710 0.710 0.290
Sn 0.290 0.710 0.710
Sn 0.210 0.210 0.790
Sn 0.790 0.790 0.790
Sn 0.210 0.790 0.210
Sn 0.710 0.290 0.710
Be 0.606 0.606 0.606
Be 0.894 0.894 0.106
Be 0.606 0.394 0.394
Be 0.106 0.106 0.106
Be 0.106 0.894 0.894
Be 0.394 0.606 0.394
Be 0.394 0.394 0.606
Be 0.894 0.106 0.894


5.
Computed, not measured: a relaxed NdIn2P2Pd7 crystal at the GGA-PBE level of DFT.

Results
DFT total energy (eV/atom): -5.269
Space group: C2/m
Formation enthalpy at 0 K (eV/atom): -0.484

a b c (Å): 4.078 4.078 13.789
angles (deg): 81.31 81.31 89.89
Fractional coordinates of all 12 atoms:
Pd 0.500 0.500 0.000
Pd 0.084 0.589 0.834
Pd 0.589 0.084 0.834
Pd 0.370 0.370 0.425
Pd 0.630 0.630 0.575
Pd 0.916 0.411 0.166
Pd 0.411 0.916 0.166
P 0.375 0.375 0.257
P 0.625 0.625 0.743
In 0.109 0.109 0.617
In 0.891 0.891 0.383
Nd 0.000 0.000 0.000


6.
Computed, not measured: a relaxed Pr5Dy12Tl2 crystal at the GGA-PBE level of DFT.

Results
DFT total energy (eV/atom): -4.401
Space group: C2/m
Formation enthalpy at 0 K (eV/atom): 0.013

a b c (Å): 9.403 12.162 8.432
angles (deg): 131.77 90.00 112.74
Fractional coordinates of all 19 atoms:
Pr 0.308 0.615 0.622
Pr 0.692 0.385 0.378
Pr 0.234 0.469 0.889
Pr 0.766 0.531 0.111
Pr 0.000 0.000 0.500
Dy 0.181 0.748 0.413
Dy 0.553 0.106 0.783
Dy 0.921 0.842 0.723
Dy 0.962 0.290 0.054
Dy 0.567 0.748 0.413
Dy 0.038 0.710 0.946
Dy 0.819 0.252 0.587
Dy 0.447 0.894 0.217
Dy 0.672 0.710 0.946
Dy 0.328 0.290 0.054
Dy 0.079 0.158 0.277
Dy 0.433 0.252 0.587
Tl 0.314 0.000 0.000
Tl 0.686 0.000 0.000


| no. | D(E_F) (states/eV per cell) | M_tot (μB/cell) |
| --- | --- | --- |
| 1 | 6.881 | 2.4 |
| 2 | 0.886 | 0.0 |
| 3 | 4.133 | 0.0 |
| 4 | 11.144 | 0.0 |
| 5 | 4.286 | 0.0 |
| 6 | 26.334 | 0.0 |